This record from Alexandria describes an optimized crystal structure of CrSnF3. The functional is GGA+U.

Computed properties:
DFT total energy, eV for the cell shown: -26.078
Energy relative to the lowest polymorph listed for this composition, meV per atom: 0.0
Symmetry: Pm-3m, No. 221
Theoretical density, g/cm³: 4.900

Lattice parameters (Å, degrees): 4.2574 4.2574 4.2574 90.00 90.00 90.00
Closest atoms and distances in Å follow each position.
Atoms (fractional coordinates):
Cr  0.0000  0.0000  0.0000  6 F 2.13
Sn  0.5000  0.5000  0.5000  12 F 3.01
F  0.0000  0.0000  0.5000  2 Cr 2.13
F  0.0000  0.5000  0.0000  2 Cr 2.13
F  0.5000  0.0000  0.0000  2 Cr 2.13

***

This record from Alexandria describes an optimized crystal structure of Na2CaFeF6. The functional is GGA+U.

Computed properties:
DFT total energy, eV for the cell shown: -51.543
Symmetry: P1, No. 1
Theoretical density, g/cm³: 2.996

Lattice parameters (Å, degrees): 5.7204 5.7256 5.9588 117.96 90.81 119.70
Closest atoms and distances in Å follow each position.
Atoms (fractional coordinates):
Na  0.0000  0.0000  0.0000  6 F 2.30-2.49
Na  0.4969  0.9981  0.5063  6 F 2.26-2.50
Ca  0.7126  0.4301  0.1469  6 F 2.23-2.33
Fe  0.2095  0.4231  0.6361  6 F 2.05-2.16
F  0.0903  0.9383  0.3622  1 Fe 2.16, 1 Ca 2.23, 1 Na 2.27
F  0.3318  0.9077  0.8510  1 Fe 2.13, 1 Na 2.30, 1 Ca 2.30
F  0.4159  0.5132  0.3586  1 Fe 2.16, 1 Ca 2.24, 1 Na 2.26
F  0.5660  0.5168  0.8440  1 Fe 2.05
F  0.8487  0.2692  0.3701  1 Fe 2.08, 1 Ca 2.25, 1 Na 2.29
F  0.9359  0.2749  0.8490  1 Fe 2.13, 1 Ca 2.30, 1 Na 2.30